No. 1
A PBEsol-optimized structure of ScInSb3. Source: Alexandria via LeMat-Bulk, functional meta-GGA SCAN.

Total moment: 0.00 μB/f.u.
Raw formation energy: 146 meV/atom
D(E_F): 3.228 states/eV/f.u.

a = 5.396 Å, b = 5.396 Å, c = 5.396 Å
α = 90.00°, β = 90.00°, γ = 90.00°
Space group Pm-3m (No. 221)
One atom of each set of equivalent atoms:
Sc 0.000 0.000 0.000 x1
In 0.500 0.500 0.500 x1
Sb 0.000 0.000 0.500 x3

No. 2
A PBEsol-optimized structure of TaPF2. Source: Alexandria via LeMat-Bulk, functional meta-GGA SCAN.

Total moment: 0.00 μB/f.u.
Raw formation energy: -590 meV/atom
D(E_F): 0.955 states/eV/f.u.

a = 5.726 Å, b = 5.726 Å, c = 5.726 Å
α = 90.00°, β = 90.00°, γ = 90.00°
Space group Fm-3m (No. 225)
One atom of each set of equivalent atoms:
Ta 0.000 0.000 0.000 x4
P 0.000 0.000 0.500 x4
F 0.250 0.250 0.250 x8

No. 3
A PBEsol-optimized structure of Bi2PdN. Source: Alexandria via LeMat-Bulk, functional meta-GGA SCAN.

Total moment: 0.00 μB/f.u.
Raw formation energy: 461 meV/atom
D(E_F): 1.319 states/eV/f.u.

a = 5.883 Å, b = 5.883 Å, c = 10.810 Å
α = 90.00°, β = 90.00°, γ = 90.00°
Space group I-42d (No. 122)
One atom of each set of equivalent atoms:
Bi 0.204 0.250 0.125 x8
Pd 0.000 0.000 0.500 x4
N 0.000 0.000 0.000 x4

No. 4
A PBEsol-optimized structure of ZrHg2Ir. Source: Alexandria via LeMat-Bulk, functional meta-GGA SCAN.

Total moment: 0.00 μB/f.u.
Formation energy from the elements: -0.15 eV per atom
D(E_F): 1.844 states/eV/f.u.

a = 9.773 Å, b = 3.477 Å, c = 4.561 Å
α = 90.00°, β = 105.21°, γ = 90.00°
Space group C2/m (No. 12)
One atom of each set of equivalent atoms:
Zr 0.000 0.000 0.000 x2
Hg 0.243 0.000 0.741 x4
Ir 0.000 0.500 0.500 x2

No. 5
A PBEsol-optimized structure of RbCuSnS3. Source: Alexandria via LeMat-Bulk, functional meta-GGA SCAN.

Total moment: 0.00 μB/f.u.
Raw formation energy: -740 meV/atom
D(E_F): 0.033 states/eV/f.u.

a = 10.976 Å, b = 10.976 Å, c = 20.078 Å
α = 90.00°, β = 97.86°, γ = 90.00°
Space group C2/c (No. 15)
One atom of each set of equivalent atoms:
Rb 0.085 0.188 0.091 x8
Rb 0.165 0.437 0.409 x8
Cu 0.000 0.062 0.250 x4
Cu 0.000 0.437 0.750 x4
Cu 0.249 0.188 0.750 x8
Sn 0.030 0.188 0.871 x8
Sn 0.220 0.438 0.629 x8
S 0.076 0.313 0.550 x8
S 0.103 0.430 0.190 x8
S 0.117 0.055 0.688 x8
S 0.133 0.195 0.310 x8
S 0.148 0.320 0.812 x8
S 0.175 0.062 0.950 x8

No. 6
A PBEsol-optimized structure of TeW2Cl. Source: Alexandria via LeMat-Bulk, functional meta-GGA SCAN.

Total moment: 0.00 μB/f.u.
Polymorph energy (0 for the lowest one): 0 meV/atom
Raw formation energy: 84 meV/atom
D(E_F): 2.173 states/eV/f.u.

a = 3.113 Å, b = 3.259 Å, c = 16.295 Å
α = 90.00°, β = 90.00°, γ = 90.00°
Space group Amm2 (No. 38)
One atom of each set of equivalent atoms:
Te 0.000 0.000 0.000 x2
W 0.000 0.000 0.804 x2
W 0.500 0.000 0.393 x2
Cl 0.500 0.000 0.689 x2

| no. | calculated volume (Å³/cell) |
| --- | --- |
| 1 | 157.2 |
| 2 | 187.8 |
| 3 | 374.1 |
| 4 | 149.5 |
| 5 | 2395.9 |
| 6 | 165.3 |